HfIn2IO: optimized geometry, PBE.

Values from the calculation:
Space group: No. 123
DOS(E_F) (states/eV/atom): 0.7013
ΔE_f (raw) (eV per atom): -0.563
V (Å³/cell): 145
Final energy (hartree per atom): -0.18195

a b c (Å): 6.051 3.948 6.051
angles (deg): 90.00 90.00 90.00
Sites, in units of the cell vectors:
I  0.500  0.500  0.500
Hf  0.000  0.500  0.000
O  0.000  0.000  0.000
In  0.000  0.000  0.500
In  0.500  0.000  0.000